First-principles (GGA-PBE) data for a geometry-optimized SrCrSCl2 structure, as listed in Alexandria via LeMat-Bulk.

Properties
- DFT total energy: -5.18 eV/atom
- Calculated density: 3.49 g cm⁻³
- Excess energy over the best structure of this formula in the dataset: 0 meV/atom
- ΔE_f (raw): -1.351 eV/atom
- Spin magnetization: 4.00 μB per cell
- SG: No. 123

Cell: 4.8261 4.8261 4.9613 Å, 90.00 90.00 90.00°
With the nearest neighbours (Å) after each atom.
Positions (direct):
Sr 0.0000 0.0000 0.0000  4 S 3.41, 8 Cl 3.46
Cr 0.5000 0.5000 0.5000  4 Cl 2.41, 2 S 2.48
S 0.5000 0.5000 0.0000  2 Cr 2.48
Cl 0.0000 0.5000 0.5000  2 Cr 2.41
Cl 0.5000 0.0000 0.5000  2 Cr 2.41

---

First-principles (GGA-PBE) data for a geometry-optimized TaCrS2Cl structure, as listed in Alexandria via LeMat-Bulk.

Properties
- DFT total energy: -5.67 eV/atom
- Calculated density: 6.33 g cm⁻³
- Excess energy over the best structure of this formula in the dataset: 770 meV/atom
- ΔE_f (raw): 0.647 eV/atom
- Spin magnetization: 0.01 μB per cell
- SG: No. 123

Cell: 4.4701 4.4701 4.3642 Å, 90.00 90.00 90.00°
With the nearest neighbours (Å) after each atom.
Positions (direct):
Ta 0.0000 0.0000 0.0000  8 S 3.12, 4 Cl 3.16
Cr 0.5000 0.5000 0.5000  2 Cl 2.18, 4 S 2.24
S 0.0000 0.5000 0.5000  2 Cr 2.24
S 0.5000 0.0000 0.5000  2 Cr 2.24
Cl 0.5000 0.5000 0.0000  2 Cr 2.18

---

First-principles (GGA-PBE) data for a geometry-optimized TaCrS2Cl structure, as listed in Alexandria via LeMat-Bulk.

Properties
- DFT total energy: -6.44 eV/atom
- Calculated density: 4.97 g cm⁻³
- Excess energy over the best structure of this formula in the dataset: 0 meV/atom
- ΔE_f (raw): -0.123 eV/atom
- Spin magnetization: 4.89 μB per cell
- SG: No. 123

Cell: 4.8107 4.8107 4.8027 Å, 90.00 90.00 90.00°
With the nearest neighbours (Å) after each atom.
Positions (direct):
Ta 0.0000 0.0000 0.0000  2 Cl 2.40, 4 S 2.41
Cr 0.5000 0.5000 0.5000  8 S 3.40, 4 Cl 3.40
S 0.0000 0.5000 0.0000  2 Ta 2.41
S 0.5000 0.0000 0.0000  2 Ta 2.41
Cl 0.0000 0.0000 0.5000  2 Ta 2.40

---

First-principles (GGA-PBE) data for a geometry-optimized TaCrSCl2 structure, as listed in Alexandria via LeMat-Bulk.

Properties
- DFT total energy: -5.92 eV/atom
- Calculated density: 4.92 g cm⁻³
- ΔE_f (raw): -0.061 eV/atom
- Spin magnetization: 5.46 μB per cell
- SG: No. 123

Cell: 4.8518 4.8518 4.8196 Å, 90.00 90.00 90.00°
With the nearest neighbours (Å) after each atom.
Positions (direct):
Ta 0.0000 0.0000 0.0000  2 S 2.41, 4 Cl 2.43
Cr 0.5000 0.5000 0.5000  8 Cl 3.42, 4 S 3.43
S 0.0000 0.0000 0.5000  2 Ta 2.41
Cl 0.0000 0.5000 0.0000  2 Ta 2.43
Cl 0.5000 0.0000 0.0000  2 Ta 2.43

---

Which of these has the lowest DFT total energy? number 3

---

Look up the DFT total energy of the fourth one. -5.92 eV/atom